Version i
First-principles (PBE-GGA) data for an optimized crystal structure of ZrOsRu2, as listed in Alexandria via LeMat-Bulk.

a b c (Å): 6.3623 6.3623 6.3623
angles (deg): 90.00 90.00 90.00
Closest atoms and distances in Å follow each position.
Space group Fm-3m (No. 225)
Symmetry-distinct sites (fractional):
1 Zr 0.0000 0.0000 0.0000 x4  8 Ru 2.75
2 Os 0.0000 0.0000 0.5000 x4  8 Ru 2.75
3 Ru 0.2500 0.2500 0.2500 x8  4 Zr 2.75, 4 Os 2.75

Computed properties:
The density of states at the Fermi level comes out at 1.844 states/eV per atom.

Version ii
First-principles (PBE-GGA) data for an optimized crystal structure of ZrOsRu2, as listed in Alexandria via LeMat-Bulk.

a b c (Å): 5.6847 7.6442 2.8766
angles (deg): 90.00 90.00 90.00
Closest atoms and distances in Å follow each position.
Space group Cmmm (No. 65)
Symmetry-distinct sites (fractional):
1 Zr 0.0000 0.0000 0.0000 x2  8 Ru 2.78, 2 Os 2.84, 2 Zr 2.88
2 Os 0.0000 0.5000 0.0000 x2  8 Ru 2.78, 2 Zr 2.84, 2 Os 2.88
3 Ru 0.2500 0.2500 0.5000 x4  4 Zr 2.78, 4 Os 2.78, 4 Ru 2.84-2.88

Computed properties:
The density of states at the Fermi level comes out at 1.004 states/eV per atom.

Version iii
First-principles (PBE-GGA) data for an optimized crystal structure of ZrOsRu2, as listed in Alexandria via LeMat-Bulk.

a b c (Å): 2.7781 2.7781 28.2761
angles (deg): 90.00 90.00 120.00
Closest atoms and distances in Å follow each position.
Space group R3m (No. 160, hexagonal axes)
Symmetry-distinct sites (fractional):
1 Zr 0.0000 0.0000 0.0000 x3  6 Zr 2.78, 3 Ru 3.01, 3 Os 3.04
2 Os 0.0000 0.0000 0.2421 x3  3 Ru 2.68, 6 Os 2.78
3 Ru 0.0000 0.0000 0.4996 x3  3 Os 2.68, 9 Ru 2.69-2.78
4 Ru 0.0000 0.0000 0.7566 x3  9 Ru 2.69-2.78, 3 Zr 3.01

Computed properties:
The density of states at the Fermi level comes out at 1.546 states/eV per atom.

Version iv
First-principles (PBE-GGA) data for an optimized crystal structure of ZrOsRu2, as listed in Alexandria via LeMat-Bulk.

a b c (Å): 3.9308 3.9308 18.1186
angles (deg): 90.00 90.00 90.00
Closest atoms and distances in Å follow each position.
Space group I-42d (No. 122)
Symmetry-distinct sites (fractional):
1 Zr 0.0000 0.0000 0.0000 x4  4 Ru 2.72, 4 Os 2.78
2 Os 0.0000 0.0000 0.5000 x4  4 Ru 2.60, 4 Zr 2.78
3 Ru 0.2086 0.2500 0.6250 x8  2 Ru 2.56, 2 Os 2.60, 2 Zr 2.72

Computed properties:
The density of states at the Fermi level comes out at 1.090 states/eV per atom.

Comparing the structures above, version ii comes out on top by 191 meV per atom.